Density functional theory data (GGA+U) for a relaxed V3CuO8 crystal.

```
V3CuO8
1.0
5.950 -1.879 0.000
5.950 1.879 0.000
-1.878 0.000 6.423
V Cu O
3 1 8
Cartesian
0.000 0.000 0.000 V
0.066 0.000 3.687 V
8.421 0.000 3.419 V
6.455 0.000 6.172 Cu
-0.082 0.000 1.712 O
0.122 0.000 5.757 O
2.095 0.000 3.686 O
4.499 0.000 6.196 O
6.487 0.000 3.656 O
8.663 0.000 1.808 O
8.399 0.000 5.849 O
10.188 0.000 3.959 O
```

Computed properties:
Crystal system = monoclinic
Energy = -85.3 eV per cell
Space group = No. 8